# 1
The following is a DFT calculation (PBE) of an optimized crystal structure of Be3GaFe.

The spin magnetization is 0.00 μB/f.u. As for the space group: Pm-3m, No. 221. Its distance to the lowest polymorph of the same formula is 0.00 eV/f.u. As for the crystal system: cubic. The value obtained for the formation energy is 68.2 kJ/mol of atoms. Its uncorrected energy is -3.827 eV/atom. For the density of states at the Fermi level, the calculation gives 2.6 states/eV/cell.

Lattice parameters (Å, degrees): 3.985 3.985 3.985 90.00 90.00 90.00
Fractional coordinates of all 5 atoms:
Be 0.000 0.000 0.500
Be 0.000 0.500 0.000
Be 0.500 0.000 0.000
Ga 0.500 0.500 0.500
Fe 0.000 0.000 0.000

# 2
The following is a DFT calculation (PBE) of an optimized crystal structure of SrCuAg2.

The spin magnetization is 0.00 μB/f.u. As for the space group: I-42d, No. 122. Its distance to the lowest polymorph of the same formula is 0.77 eV/f.u. As for the crystal system: tetragonal. The value obtained for the formation energy is 7.9 kJ/mol of atoms. Its uncorrected energy is -2.788 eV/atom. For the density of states at the Fermi level, the calculation gives 6.3 states/eV/cell.

Lattice parameters (Å, degrees): 5.025 5.025 17.793 90.00 90.00 90.00
Fractional coordinates of all 16 atoms:
Sr 0.000 0.000 0.000
Sr 0.000 0.500 0.250
Sr 0.500 0.000 0.750
Sr 0.500 0.500 0.500
Cu 0.000 0.000 0.500
Cu 0.000 0.500 0.750
Cu 0.500 0.000 0.250
Cu 0.500 0.500 0.000
Ag 0.076 0.250 0.625
Ag 0.250 0.576 0.875
Ag 0.250 0.924 0.375
Ag 0.424 0.250 0.125
Ag 0.576 0.750 0.125
Ag 0.750 0.076 0.375
Ag 0.750 0.424 0.875
Ag 0.924 0.750 0.625

# 3
The following is a DFT calculation (PBE) of an optimized crystal structure of Ta2HgOs.

The spin magnetization is 0.00 μB/f.u. As for the space group: I4/mmm, No. 139. As for the crystal system: tetragonal. The value obtained for the formation energy is 21.6 kJ/mol of atoms. Its uncorrected energy is -8.585 eV/atom. For the density of states at the Fermi level, the calculation gives 4.9 states/eV/cell.

Lattice parameters (Å, degrees): 4.091 4.091 8.268 90.00 90.00 90.00
Fractional coordinates of all 8 atoms:
Ta 0.000 0.500 0.250
Ta 0.000 0.500 0.750
Ta 0.500 0.000 0.250
Ta 0.500 0.000 0.750
Hg 0.000 0.000 0.000
Hg 0.500 0.500 0.500
Os 0.000 0.000 0.500
Os 0.500 0.500 0.000

# 4
The following is a DFT calculation (PBE) of an optimized crystal structure of La7Pr3Ho.

The spin magnetization is 0.00 μB/f.u. As for the space group: C2/m, No. 12. As for the crystal system: monoclinic. The value obtained for the formation energy is 19.7 kJ/mol of atoms. Its uncorrected energy is -4.651 eV/atom. For the density of states at the Fermi level, the calculation gives 17.7 states/eV/cell.

Lattice parameters (Å, degrees): 8.724 8.724 6.104 110.33 110.33 83.00
Fractional coordinates of all 11 atoms:
La 0.000 0.000 0.000
La 0.096 0.511 0.303
La 0.289 0.289 0.789
La 0.489 0.904 0.697
La 0.511 0.096 0.303
La 0.711 0.711 0.211
La 0.904 0.489 0.697
Pr 0.291 0.709 0.000
Pr 0.500 0.500 0.500
Pr 0.709 0.291 0.000
Ho 0.000 0.000 0.500

# 5
The following is a DFT calculation (PBE) of an optimized crystal structure of NaFe3Cu.

The spin magnetization is 8.22 μB/f.u. As for the space group: Pm-3m, No. 221. Its distance to the lowest polymorph of the same formula is 4.38 eV/f.u. As for the crystal system: cubic. The value obtained for the formation energy is 192.8 kJ/mol of atoms. Its uncorrected energy is -4.163 eV/atom. For the density of states at the Fermi level, the calculation gives 6.0 states/eV/cell.

Lattice parameters (Å, degrees): 4.393 4.393 4.393 90.00 90.00 90.00
Fractional coordinates of all 5 atoms:
Na 0.000 0.000 0.000
Fe 0.000 0.000 0.500
Fe 0.000 0.500 0.000
Fe 0.500 0.000 0.000
Cu 0.500 0.500 0.500

# 6
The following is a DFT calculation (PBE) of an optimized crystal structure of LiHf5P6.

The spin magnetization is 0.00 μB/f.u. As for the space group: C2/m, No. 12. As for the crystal system: monoclinic. The value obtained for the formation energy is -113.0 kJ/mol of atoms. Its uncorrected energy is -8.183 eV/atom. For the density of states at the Fermi level, the calculation gives 5.3 states/eV/cell.

Lattice parameters (Å, degrees): 6.403 6.403 6.410 99.60 99.60 119.92
Fractional coordinates of all 12 atoms:
Li 0.000 0.000 0.000
Hf 0.165 0.835 0.500
Hf 0.334 0.666 0.000
Hf 0.500 0.500 0.500
Hf 0.666 0.334 0.000
Hf 0.835 0.165 0.500
P 0.083 0.413 0.249
P 0.247 0.247 0.754
P 0.413 0.083 0.249
P 0.587 0.917 0.751
P 0.753 0.753 0.246
P 0.917 0.587 0.751

# 7
The following is a DFT calculation (PBE) of an optimized crystal structure of Sc2Si2Tc5Mo.

The spin magnetization is 0.00 μB/f.u. As for the space group: P4/mbm, No. 127. As for the crystal system: tetragonal. Its uncorrected energy is -8.988 eV/atom. For the density of states at the Fermi level, the calculation gives 21.1 states/eV/cell.

Lattice parameters (Å, degrees): 9.791 9.791 3.286 90.00 90.00 90.00
Fractional coordinates of all 20 atoms:
Sc 0.170 0.330 0.000
Sc 0.330 0.830 0.000
Sc 0.670 0.170 0.000
Sc 0.830 0.670 0.000
Si 0.128 0.628 0.000
Si 0.372 0.128 0.000
Si 0.628 0.872 0.000
Si 0.872 0.372 0.000
Tc 0.000 0.500 0.500
Tc 0.067 0.800 0.500
Tc 0.200 0.067 0.500
Tc 0.300 0.567 0.500
Tc 0.433 0.300 0.500
Tc 0.500 0.000 0.500
Tc 0.567 0.700 0.500
Tc 0.700 0.433 0.500
Tc 0.800 0.933 0.500
Tc 0.933 0.200 0.500
Mo 0.000 0.000 0.000
Mo 0.500 0.500 0.000

# 8
The following is a DFT calculation (PBE) of an optimized crystal structure of YAlMo2.

The spin magnetization is 0.00 μB/f.u. As for the space group: R3m, No. 160. As for the crystal system: trigonal. The value obtained for the formation energy is 22.4 kJ/mol of atoms. Its uncorrected energy is -7.735 eV/atom. For the density of states at the Fermi level, the calculation gives 7.2 states/eV/cell.

Lattice parameters (Å, degrees): 3.146 3.146 27.012 90.00 90.00 120.00
Fractional coordinates of all 12 atoms:
Y 0.000 0.000 0.000
Y 0.333 0.667 0.667
Y 0.667 0.333 0.333
Al 0.000 0.000 0.236
Al 0.333 0.667 0.902
Al 0.667 0.333 0.569
Mo 0.000 0.000 0.491
Mo 0.000 0.000 0.756
Mo 0.333 0.667 0.158
Mo 0.333 0.667 0.422
Mo 0.667 0.333 0.089
Mo 0.667 0.333 0.824

# 9
The following is a DFT calculation (PBE) of an optimized crystal structure of Y8Ir3Au2.

The spin magnetization is 0.00 μB/f.u. As for the space group: Cmmm, No. 65. As for the crystal system: orthorhombic. The value obtained for the formation energy is -63.6 kJ/mol of atoms. Its uncorrected energy is -7.186 eV/atom. For the density of states at the Fermi level, the calculation gives 14.6 states/eV/cell.

Lattice parameters (Å, degrees): 8.569 8.569 4.882 90.00 90.00 109.81
Fractional coordinates of all 13 atoms:
Y 0.117 0.883 0.000
Y 0.133 0.372 0.500
Y 0.372 0.133 0.500
Y 0.380 0.620 0.000
Y 0.620 0.380 0.000
Y 0.628 0.867 0.500
Y 0.867 0.628 0.500
Y 0.883 0.117 0.000
Ir 0.248 0.248 0.000
Ir 0.500 0.500 0.500
Ir 0.752 0.752 0.000
Au 0.245 0.755 0.500
Au 0.755 0.245 0.500

# 10
The following is a DFT calculation (PBE) of an optimized crystal structure of Sn5Hg.

The spin magnetization is 0.00 μB/f.u. As for the space group: P4/mmm, No. 123. Its distance to the lowest polymorph of the same formula is 0.00 eV/f.u. As for the crystal system: tetragonal. The value obtained for the formation energy is 5.5 kJ/mol of atoms. Its uncorrected energy is -3.329 eV/atom. For the density of states at the Fermi level, the calculation gives 1.8 states/eV/cell.

Lattice parameters (Å, degrees): 3.472 3.472 13.563 90.00 90.00 90.00
Fractional coordinates of all 6 atoms:
Sn 0.000 0.000 0.000
Sn 0.000 0.000 0.340
Sn 0.000 0.000 0.660
Sn 0.500 0.500 0.172
Sn 0.500 0.500 0.828
Hg 0.500 0.500 0.500

# 11
The following is a DFT calculation (PBE) of an optimized crystal structure of Lu4CdPt.

The spin magnetization is 0.00 μB/f.u. As for the space group: F-43m, No. 216. As for the crystal system: cubic. The value obtained for the formation energy is -61.5 kJ/mol of atoms. Its uncorrected energy is -4.811 eV/atom. For the density of states at the Fermi level, the calculation gives 26.3 states/eV/cell.

Lattice parameters (Å, degrees): 9.480 9.480 9.480 60.00 60.00 60.00
Fractional coordinates of all 24 atoms:
Lu 0.061 0.061 0.439
Lu 0.061 0.439 0.061
Lu 0.061 0.439 0.439
Lu 0.185 0.185 0.815
Lu 0.185 0.815 0.185
Lu 0.185 0.815 0.815
Lu 0.191 0.603 0.603
Lu 0.439 0.061 0.061
Lu 0.439 0.061 0.439
Lu 0.439 0.439 0.061
Lu 0.603 0.191 0.603
Lu 0.603 0.603 0.191
Lu 0.603 0.603 0.603
Lu 0.815 0.185 0.185
Lu 0.815 0.185 0.815
Lu 0.815 0.815 0.185
Cd 0.502 0.833 0.833
Cd 0.833 0.502 0.833
Cd 0.833 0.833 0.502
Cd 0.833 0.833 0.833
Pt 0.394 0.394 0.394
Pt 0.394 0.394 0.819
Pt 0.394 0.819 0.394
Pt 0.819 0.394 0.394

# 12
The following is a DFT calculation (PBE) of an optimized crystal structure of LiHfNiSe3.

The spin magnetization is 0.01 μB/f.u. As for the space group: P2_1/m, No. 11. As for the crystal system: monoclinic. Its uncorrected energy is -5.701 eV/atom. For the density of states at the Fermi level, the calculation gives 7.5 states/eV/cell.

Lattice parameters (Å, degrees): 7.498 3.702 9.093 90.00 105.28 90.00
Fractional coordinates of all 12 atoms:
Li 0.208 0.250 0.274
Li 0.792 0.750 0.726
Hf 0.313 0.750 0.822
Hf 0.687 0.250 0.178
Ni 0.093 0.250 0.587
Ni 0.907 0.750 0.413
Se 0.071 0.250 0.848
Se 0.255 0.750 0.524
Se 0.416 0.750 0.144
Se 0.584 0.250 0.856
Se 0.745 0.250 0.476
Se 0.929 0.750 0.152